(1)
Compound: Te3RhN
Source: Alexandria via LeMat-Bulk
Functional: PBE-GGA
Structure: relaxed

E above lowest polymorph in eV per atom: 0.620
ρ in Mg/m³: 6.10
Formation energy without anion corrections in kcal/mol of atoms: 35.34

Geometry as CIF:
```
data_Te3RhN
_space_group_name_H-M_alt 'P m -3 m'
_space_group_IT_number 221
_space_group_name_Hall '-P 4 2 3'
_cell_length_a 5.143
_cell_length_b 5.143
_cell_length_c 5.143
_cell_angle_alpha 90.00
_cell_angle_beta 90.00
_cell_angle_gamma 90.00
loop_
_atom_site_label
_atom_site_fract_x
_atom_site_fract_y
_atom_site_fract_z
_atom_site_occupancy
Te1 0.000 0.000 0.500 1
Rh1 0.000 0.000 0.000 1
N1 0.500 0.500 0.500 1
```



(2)
Compound: TeRhN2
Source: Alexandria via LeMat-Bulk
Functional: PBE-GGA
Structure: relaxed

ρ in Mg/m³: 7.65
Formation energy without anion corrections in kcal/mol of atoms: 17.66

Geometry as CIF:
```
data_TeRhN2
_space_group_name_H-M_alt 'R -3 m'
_space_group_IT_number 166
_space_group_name_Hall '-R 3 2"'
_cell_length_a 3.2081
_cell_length_b 3.2081
_cell_length_c 18.8924
_cell_angle_alpha 90.00
_cell_angle_beta 90.00
_cell_angle_gamma 120.00
loop_
_atom_site_label
_atom_site_fract_x
_atom_site_fract_y
_atom_site_fract_z
_atom_site_occupancy
Te1 0.0000 0.0000 0.0000 1
Rh1 0.0000 0.0000 0.5000 1
N1 0.0000 0.0000 0.1157 1
```